## LaPm2Rh (PBE-GGA)

Data for an optimized crystal structure of LaPm2Rh.

Summary:
ΔE_f, kJ per mole of atoms: -30.5
Relative energy among the computed polymorphs, meV/atom: 135
Space-group type: P4/mmm
Calculated volume, Å³/f.u.: 116

Cell lengths 3.595, 3.595, 9.012 Å; angles 90.00, 90.00, 90.00 degrees
Sites, in units of the cell vectors:
La 0.000 0.000 0.000
Pm 0.500 0.500 0.316
Pm 0.500 0.500 0.684
Rh 0.000 0.000 0.500